1.
{
  "formula": "ScGeF",
  "functional": "PBE-GGA",
  "state": "relaxed",
  "lattice_angstrom": [[3.681, 0.000, 0.000], [0.000, 6.938, 0.000], [0.000, 0.000, 4.019]],
  "species": ["Sc", "Sc", "Ge", "Ge", "F", "F"],
  "frac_coords": [[0.000, 0.205, 0.000], [0.500, 0.795, 0.500], [0.000, 0.484, 0.497], [0.500, 0.516, 0.997], [0.000, 0.960, 0.364], [0.500, 0.040, 0.864]],
  "raw_formation_energy_mev_per_atom": -1899,
  "total_magnetization_mub_per_fu": 0.000,
  "spacegroup": "Pmn2_1 (31)",
  "relative_energy_mev_per_atom": 20,
  "volume_a3_per_cell": 102.63
}

=====

2.
{
  "formula": "Tb4As3Cl",
  "functional": "PBE-GGA",
  "state": "relaxed",
  "lattice_angstrom": [[8.235, 0.000, 0.000], [0.000, 11.621, 0.000], [0.000, 0.000, 4.117]],
  "species": ["Tb", "Tb", "Tb", "Tb", "Tb", "Tb", "Tb", "Tb", "As", "As", "As", "As", "As", "As", "Cl", "Cl"],
  "frac_coords": [[0.000, 0.243, 0.000], [0.000, 0.757, 0.000], [0.234, 0.000, 0.500], [0.266, 0.500, 0.500], [0.500, 0.257, 0.000], [0.500, 0.743, 0.000], [0.734, 0.500, 0.500], [0.766, 0.000, 0.500], [0.000, 0.000, 0.000], [0.250, 0.250, 0.500], [0.250, 0.750, 0.500], [0.500, 0.500, 0.000], [0.750, 0.250, 0.500], [0.750, 0.750, 0.500], [0.000, 0.500, 0.000], [0.500, 0.000, 0.000]],
  "raw_formation_energy_mev_per_atom": -1542,
  "total_magnetization_mub_per_fu": 0.000,
  "spacegroup": "Cmmm (65)",
  "volume_a3_per_cell": 394.06
}

=====

3.
{
  "formula": "Cs2InBr2Cl4",
  "functional": "PBE-GGA",
  "state": "relaxed",
  "lattice_angstrom": [[-3.972, 3.972, 4.986], [3.972, -3.972, 4.986], [3.972, 3.972, -4.986]],
  "species": ["Cs", "Cs", "In", "Br", "Br", "Cl", "Cl", "Cl", "Cl"],
  "frac_coords": [[0.250, 0.750, 0.500], [0.750, 0.250, 0.500], [0.000, 0.000, 0.000], [0.272, 0.272, 0.000], [0.728, 0.728, 0.000], [0.226, 0.226, 0.453], [0.226, 0.774, 0.000], [0.774, 0.226, 0.000], [0.774, 0.774, 0.547]],
  "raw_formation_energy_mev_per_atom": -1289,
  "total_magnetization_mub_per_fu": 0.913,
  "spacegroup": "I4/mmm (139)",
  "volume_a3_per_cell": 314.73
}

=====

4.
{
  "formula": "Pm2ReMoN6",
  "functional": "PBE-GGA",
  "state": "relaxed",
  "lattice_angstrom": [[5.462, 0.000, 0.000], [0.000, 5.462, 0.000], [0.000, 0.000, 4.631]],
  "species": ["Pm", "Pm", "Re", "Mo", "N", "N", "N", "N", "N", "N"],
  "frac_coords": [[0.000, 0.500, 0.000], [0.500, 0.000, 0.000], [0.000, 0.000, 0.575], [0.500, 0.500, 0.574], [0.000, 0.000, 0.193], [0.247, 0.247, 0.693], [0.247, 0.753, 0.693], [0.500, 0.500, 0.190], [0.753, 0.247, 0.693], [0.753, 0.753, 0.693]],
  "raw_formation_energy_mev_per_atom": -704,
  "total_magnetization_mub_per_fu": 0.000,
  "spacegroup": "P4mm (99)",
  "volume_a3_per_cell": 138.15
}

=====

5.
{
  "formula": "Sr2Cu5Rh5",
  "functional": "PBE-GGA",
  "state": "relaxed",
  "lattice_angstrom": [[4.130, 0.000, 0.000], [0.000, 5.344, 0.000], [0.000, 0.000, 9.233]],
  "species": ["Sr", "Sr", "Cu", "Cu", "Cu", "Cu", "Cu", "Rh", "Rh", "Rh", "Rh", "Rh"],
  "frac_coords": [[0.000, 0.000, 0.000], [0.000, 0.500, 0.500], [0.000, 0.000, 0.331], [0.000, 0.000, 0.669], [0.000, 0.500, 0.167], [0.000, 0.500, 0.833], [0.500, 0.000, 0.500], [0.500, 0.247, 0.252], [0.500, 0.247, 0.748], [0.500, 0.500, 0.000], [0.500, 0.753, 0.252], [0.500, 0.753, 0.748]],
  "ef_ev_per_atom": -0.124,
  "total_magnetization_mub_per_fu": 0.000,
  "spacegroup": "Pmmm (47)",
  "volume_a3_per_cell": 203.79
}

=====

6.
{
  "formula": "BeCoTcMo",
  "functional": "PBE-GGA",
  "state": "relaxed",
  "lattice_angstrom": [[5.867, 0.000, 0.000], [0.000, 5.867, 0.000], [0.000, 0.000, 5.867]],
  "species": ["Be", "Be", "Be", "Be", "Co", "Co", "Co", "Co", "Tc", "Tc", "Tc", "Tc", "Mo", "Mo", "Mo", "Mo"],
  "frac_coords": [[0.000, 0.000, 0.000], [0.000, 0.500, 0.500], [0.500, 0.000, 0.500], [0.500, 0.500, 0.000], [0.250, 0.250, 0.250], [0.250, 0.750, 0.750], [0.750, 0.250, 0.750], [0.750, 0.750, 0.250], [0.250, 0.250, 0.750], [0.250, 0.750, 0.250], [0.750, 0.250, 0.250], [0.750, 0.750, 0.750], [0.000, 0.000, 0.500], [0.000, 0.500, 0.000], [0.500, 0.000, 0.000], [0.500, 0.500, 0.500]],
  "ef_ev_per_atom": -0.010,
  "total_magnetization_mub_per_fu": 0.000,
  "spacegroup": "F-43m (216)",
  "volume_a3_per_cell": 201.95
}

=====

- Which formula does entry 5 have?
  Sr2Cu5Rh5